# 1
{"formula": "Sr2TaFe", "functional": "PBE-GGA", "state": "relaxed", "lattice": [[0.000, 3.704, 3.704], [3.704, 0.000, 3.704], [3.704, 3.704, 0.000]], "species": ["Sr", "Sr", "Ta", "Fe"], "frac_coords": [[0.000, 0.000, 0.000], [0.250, 0.250, 0.250], [0.750, 0.750, 0.750], [0.500, 0.500, 0.500]], "formation_energy_ev_per_atom": 1.148, "crystal_system": "cubic"}


# 2
{"formula": "SrTa2Fe", "functional": "PBE-GGA", "state": "relaxed", "lattice": [[-1.594, 1.926, 7.718], [1.594, -1.926, 7.718], [1.594, 1.926, -7.718]], "species": ["Sr", "Ta", "Ta", "Fe"], "frac_coords": [[0.000, 0.000, 0.000], [0.312, 0.812, 0.500], [0.676, 0.676, 0.000], [0.793, 0.293, 0.500]], "formation_energy_ev_per_atom": 0.638, "crystal_system": "orthorhombic"}


Repeat the first record exactly.
{"formula": "Sr2TaFe", "functional": "PBE-GGA", "state": "relaxed", "lattice": [[0.000, 3.704, 3.704], [3.704, 0.000, 3.704], [3.704, 3.704, 0.000]], "species": ["Sr", "Sr", "Ta", "Fe"], "frac_coords": [[0.000, 0.000, 0.000], [0.250, 0.250, 0.250], [0.750, 0.750, 0.750], [0.500, 0.500, 0.500]], "formation_energy_ev_per_atom": 1.148, "crystal_system": "cubic"}